Run 1
VASP calculation (PBE) on crystalline Na2TlBi at its relaxed geometry.

a = 5.4613 Å, b = 5.4613 Å, c = 5.4613 Å
α = 60.00°, β = 60.00°, γ = 60.00°
With the nearest neighbours (Å) after each atom.
Element x y z (fractional)
1 Na 0.2500 0.2500 0.2500  4 Bi 3.34, 4 Tl 3.34
2 Na 0.7500 0.7500 0.7500  4 Bi 3.34, 4 Tl 3.34
3 Tl 0.0000 0.0000 0.0000  8 Na 3.34
4 Bi 0.5000 0.5000 0.5000  8 Na 3.34

***

Run 2
VASP calculation (PBE) on crystalline Na2TlBi at its relaxed geometry.

a = 4.8715 Å, b = 4.8715 Å, c = 4.8453 Å
α = 90.00°, β = 90.00°, γ = 90.00°
With the nearest neighbours (Å) after each atom.
Element x y z (fractional)
1 Na 0.0000 0.5000 0.0000  4 Tl 3.44, 4 Bi 3.44, 4 Na 3.44
2 Na 0.5000 0.0000 0.0000  4 Tl 3.44, 4 Bi 3.44, 4 Na 3.44
3 Tl 0.0000 0.0000 0.5000  8 Na 3.44, 4 Bi 3.44
4 Bi 0.5000 0.5000 0.5000  8 Na 3.44, 4 Tl 3.44

***

run 1 ends up most stable, edging out the next structure by 8.3 kJ/mol of atoms.